[1]
Computed, not measured: a relaxed AlSeO3 crystal at the PBE level of DFT. Values from VASP.

Calculated values
Magnetic moment   2.0 μB per cell
ρ   1771 kg/m³
Formation energy (no corrections)   -1.477 eV per atom

Structure (Quantum ESPRESSO input):
```
&SYSTEM
  ibrav = 0, nat = 10, ntyp = 3
/
ATOMIC_SPECIES
Al 26.98 Al.upf
Se 78.96 Se.upf
O 16.00 O.upf
ATOMIC_POSITIONS crystal
Al 0.230 0.588 0.500
Al 0.730 0.412 0.500
Se 0.988 0.164 0.500
Se 0.488 0.836 0.500
O 0.460 0.835 0.710
O 0.249 0.625 0.290
O 0.960 0.375 0.710
O 0.914 0.568 0.500
O 0.749 0.165 0.290
O 0.414 0.432 0.500
CELL_PARAMETERS angstrom
4.995 0.000 -1.941
-1.446 8.052 -3.723
0.170 -1.363 7.836
```

***

[2]
Computed, not measured: a relaxed GaHW2 crystal at the PBE level of DFT. Values from VASP.

Calculated values
Magnetic moment   0.0 μB per cell
Polymorph energy (0 for the lowest one)   0 meV per atom
ρ   14177 kg/m³

Structure (Quantum ESPRESSO input):
```
&SYSTEM
  ibrav = 0, nat = 8, ntyp = 3
/
ATOMIC_SPECIES
H 1.01 H.upf
Ga 69.72 Ga.upf
W 183.84 W.upf
ATOMIC_POSITIONS crystal
H 0.500 0.500 0.000
H 0.250 0.750 0.500
Ga 0.000 0.000 0.000
Ga 0.750 0.250 0.500
W 0.522 0.125 0.250
W 0.228 0.625 0.250
W 0.375 0.478 0.750
W 0.875 0.772 0.750
CELL_PARAMETERS angstrom
6.042 0.000 0.000
0.000 6.042 0.000
3.021 3.021 2.813
```

***

[3]
Computed, not measured: a relaxed Ac2PmBr2N2 crystal at the PBE level of DFT. Values from VASP.

Calculated values
Magnetic moment   0.0 μB per cell
ρ   7242 kg/m³
Formation energy (no corrections)   -1.288 eV per atom

Structure (Quantum ESPRESSO input):
```
&SYSTEM
  ibrav = 0, nat = 7, ntyp = 4
/
ATOMIC_SPECIES
Ac 227.00 Ac.upf
Pm 145.00 Pm.upf
Br 79.90 Br.upf
N 14.01 N.upf
ATOMIC_POSITIONS crystal
Ac 0.401 0.401 0.802
Ac 0.599 0.599 0.198
Pm 0.000 0.000 0.000
Br 0.190 0.190 0.380
Br 0.810 0.810 0.620
N 0.000 0.500 0.000
N 0.500 0.000 0.000
CELL_PARAMETERS angstrom
4.687 0.000 0.000
0.000 4.687 0.000
-2.343 -2.343 8.214
```

***

[4]
Computed, not measured: a relaxed Li2Al3Ag4 crystal at the PBE level of DFT. Values from VASP.

Calculated values
Magnetic moment   0.0 μB per cell
Polymorph energy (0 for the lowest one)   0 meV per atom
ρ   6006 kg/m³
Formation energy   -189 meV per atom

Structure (Quantum ESPRESSO input):
```
&SYSTEM
  ibrav = 0, nat = 9, ntyp = 3
/
ATOMIC_SPECIES
Li 6.94 Li.upf
Al 26.98 Al.upf
Ag 107.87 Ag.upf
ATOMIC_POSITIONS crystal
Li 0.321 0.359 0.782
Li 0.679 0.641 0.218
Al 0.341 0.317 0.438
Al 0.000 0.000 0.000
Al 0.659 0.683 0.562
Ag 0.660 0.681 0.889
Ag 0.024 0.952 0.331
Ag 0.976 0.048 0.669
Ag 0.340 0.319 0.111
CELL_PARAMETERS angstrom
-2.196 -0.581 -3.644
2.423 -0.717 -3.876
0.682 -8.251 0.901
```

***

[5]
Computed, not measured: a relaxed Co4P5 crystal at the PBE level of DFT. Values from VASP.

Calculated values
Magnetic moment   0.0 μB per cell
Polymorph energy (0 for the lowest one)   0 meV per atom
ρ   6142 kg/m³
Formation energy   79 meV per atom

Structure (Quantum ESPRESSO input):
```
&SYSTEM
  ibrav = 0, nat = 18, ntyp = 2
/
ATOMIC_SPECIES
P 30.97 P.upf
Co 58.93 Co.upf
ATOMIC_POSITIONS crystal
P 0.000 0.715 0.250
P 0.285 0.285 0.250
P 0.715 0.000 0.250
P 0.000 0.285 0.750
P 0.715 0.715 0.750
P 0.285 0.000 0.750
P 0.667 0.333 0.000
P 0.333 0.667 0.500
P 0.333 0.667 0.000
P 0.667 0.333 0.500
Co 0.000 0.000 0.000
Co 0.000 0.000 0.500
Co 0.000 0.368 0.250
Co 0.632 0.632 0.250
Co 0.368 0.000 0.250
Co 0.000 0.632 0.750
Co 0.368 0.368 0.750
Co 0.632 0.000 0.750
CELL_PARAMETERS angstrom
7.136 0.000 0.000
-3.568 6.180 0.000
0.000 0.000 4.789
```

***

[6]
Computed, not measured: a relaxed Tm4OsPt crystal at the PBE level of DFT. Values from VASP.

Calculated values
Magnetic moment   0.0 μB per cell
Polymorph energy (0 for the lowest one)   106 meV per atom
ρ   11204 kg/m³
Formation energy   -561 meV per atom

Structure (Quantum ESPRESSO input):
```
&SYSTEM
  ibrav = 0, nat = 12, ntyp = 3
/
ATOMIC_SPECIES
Tm 168.93 Tm.upf
Os 190.23 Os.upf
Pt 195.08 Pt.upf
ATOMIC_POSITIONS crystal
Tm 0.827 0.669 0.163
Tm 0.673 0.169 0.837
Tm 0.337 0.331 0.324
Tm 0.163 0.831 0.676
Tm 0.173 0.331 0.837
Tm 0.327 0.831 0.163
Tm 0.663 0.669 0.676
Tm 0.837 0.169 0.324
Os 0.000 0.000 0.000
Os 0.500 0.500 0.000
Pt 0.500 0.000 0.500
Pt 0.000 0.500 0.500
CELL_PARAMETERS angstrom
6.791 0.000 0.106
0.000 6.801 0.000
0.005 0.000 6.809
```

***

[7]
Computed, not measured: a relaxed Ir3Pt4 crystal at the PBE level of DFT. Values from VASP.

Calculated values
Magnetic moment   0.0 μB per cell
ρ   20833 kg/m³
Formation energy   140 meV per atom

Structure (Quantum ESPRESSO input):
```
&SYSTEM
  ibrav = 0, nat = 7, ntyp = 2
/
ATOMIC_SPECIES
Ir 192.22 Ir.upf
Pt 195.08 Pt.upf
ATOMIC_POSITIONS crystal
Ir 0.000 0.000 0.000
Ir 0.282 0.282 0.000
Ir 0.718 0.718 0.000
Pt 0.144 0.144 0.000
Pt 0.430 0.430 0.000
Pt 0.570 0.570 0.000
Pt 0.856 0.856 0.000
CELL_PARAMETERS angstrom
0.523 0.617 9.764
-2.743 3.883 8.567
-0.607 -3.895 -8.970
```

***

[8]
Computed, not measured: a relaxed KTl2Au crystal at the PBE level of DFT. Values from VASP.

Calculated values
Magnetic moment   0.0 μB per cell
ρ   8576 kg/m³
Formation energy   -122 meV per atom

Structure (Quantum ESPRESSO input):
```
&SYSTEM
  ibrav = 0, nat = 4, ntyp = 3
/
ATOMIC_SPECIES
Tl 204.38 Tl.upf
Au 196.97 Au.upf
K 39.10 K.upf
ATOMIC_POSITIONS crystal
Tl 0.000 0.039 0.054
Tl 0.500 0.456 0.213
Au 0.000 0.264 0.595
K 0.500 0.741 0.638
CELL_PARAMETERS angstrom
-2.562 2.514 0.212
-1.517 -1.966 4.970
3.237 2.844 5.395
```